Record 1
The following is a DFT calculation (GGA-PBE) of a geometry-optimized DyHo2Ru structure.

a b c (Å): 10.844 10.844 10.844
angles (deg): 18.45 18.45 18.45
Fractional positions:
Dy  0.000  0.000  0.000
Ho  0.107  0.107  0.107
Ho  0.893  0.893  0.893
Ru  0.500  0.500  0.500

Output
- Magnetization: 0.40 μB per formula unit
- Energy above the most stable polymorph in this dataset: 0.437 eV per atom
- Energy of formation from the pure elements: 0.1006 eV per atom

Record 2
The following is a DFT calculation (GGA-PBE) of a geometry-optimized LiHo3Au4 structure.

a b c (Å): 8.636 8.636 8.636
angles (deg): 33.44 33.44 33.44
Fractional positions:
Li  0.000  0.000  0.000
Ho  0.256  0.256  0.256
Ho  0.500  0.500  0.500
Ho  0.744  0.744  0.744
Au  0.128  0.128  0.128
Au  0.378  0.378  0.378
Au  0.622  0.622  0.622
Au  0.872  0.872  0.872

Output
- Magnetization: 0.00 μB per formula unit
- Energy of formation from the pure elements: -0.7914 eV per atom

Record 3
The following is a DFT calculation (GGA-PBE) of a geometry-optimized Dy3Cd4 structure.

a b c (Å): 8.298 8.298 8.298
angles (deg): 113.55 113.55 113.55
Fractional positions:
Dy  0.042  0.629  0.769
Dy  0.231  0.958  0.371
Dy  0.371  0.231  0.958
Dy  0.629  0.769  0.042
Dy  0.769  0.042  0.629
Dy  0.958  0.371  0.231
Cd  0.000  0.000  0.000
Cd  0.129  0.276  0.569
Cd  0.276  0.569  0.129
Cd  0.431  0.871  0.724
Cd  0.500  0.500  0.500
Cd  0.569  0.129  0.276
Cd  0.724  0.431  0.871
Cd  0.871  0.724  0.431

Output
- Magnetization: 0.00 μB per formula unit
- Energy above the most stable polymorph in this dataset: 0.000 eV per atom
- Energy of formation from the pure elements: -0.2951 eV per atom

Record 4
The following is a DFT calculation (GGA-PBE) of a geometry-optimized NdScRh2 structure.

a b c (Å): 4.803 4.803 4.803
angles (deg): 60.00 60.00 60.00
Fractional positions:
Nd  0.000  0.000  0.000
Sc  0.500  0.500  0.500
Rh  0.250  0.250  0.250
Rh  0.750  0.750  0.750

Output
- Magnetization: 0.00 μB per formula unit
- Energy above the most stable polymorph in this dataset: 0.032 eV per atom
- Energy of formation from the pure elements: -0.7439 eV per atom

Record 5
The following is a DFT calculation (GGA-PBE) of a geometry-optimized Zr2VCo2 structure.

a b c (Å): 6.161 6.161 4.239
angles (deg): 90.00 90.00 90.00
Fractional positions:
Zr  0.177  0.323  0.000
Zr  0.323  0.823  0.000
Zr  0.677  0.177  0.000
Zr  0.823  0.677  0.000
V  0.000  0.000  0.500
V  0.500  0.500  0.500
Co  0.138  0.638  0.500
Co  0.362  0.138  0.500
Co  0.638  0.862  0.500
Co  0.862  0.362  0.500

Output
- Magnetization: 0.00 μB per formula unit
- Energy above the most stable polymorph in this dataset: 0.115 eV per atom
- Energy of formation from the pure elements: -0.1728 eV per atom

Record 6
The following is a DFT calculation (GGA-PBE) of a geometry-optimized Li2HgMoAs structure.

a b c (Å): 4.524 4.524 4.815
angles (deg): 90.00 90.00 90.00
Fractional positions:
Li  0.000  0.500  0.000
Li  0.500  0.000  0.000
Hg  0.000  0.000  0.500
Mo  0.500  0.500  0.500
As  0.500  0.500  0.000

Output
- Magnetization: 0.05 μB per formula unit
- Energy of formation from the pure elements: 0.1837 eV per atom

Record 7
The following is a DFT calculation (GGA-PBE) of a geometry-optimized PrYEr2Tm5 structure.

a b c (Å): 9.574 9.574 9.574
angles (deg): 124.16 124.16 82.94
Fractional positions:
Pr  0.250  0.250  0.000
Pr  0.750  0.750  0.000
Y  0.250  0.750  0.500
Y  0.750  0.250  0.500
Er  0.111  0.611  0.722
Er  0.389  0.111  0.500
Er  0.611  0.889  0.500
Er  0.889  0.389  0.278
Tm  0.000  0.000  0.000
Tm  0.075  0.167  0.500
Tm  0.167  0.667  0.092
Tm  0.333  0.425  0.500
Tm  0.425  0.925  0.092
Tm  0.500  0.500  0.000
Tm  0.575  0.075  0.908
Tm  0.667  0.575  0.500
Tm  0.833  0.333  0.908
Tm  0.925  0.833  0.500

Output
- Magnetization: 0.00 μB per formula unit
- Energy of formation from the pure elements: 0.2929 eV per atom

Record 8
The following is a DFT calculation (GGA-PBE) of a geometry-optimized ReGe structure.

a b c (Å): 6.716 6.716 6.716
angles (deg): 109.47 109.47 109.47
Fractional positions:
Re  0.000  0.000  0.232
Re  0.000  0.232  0.000
Re  0.232  0.000  0.000
Re  0.768  0.768  0.768
Ge  0.000  0.000  0.606
Ge  0.000  0.606  0.000
Ge  0.394  0.394  0.394
Ge  0.606  0.000  0.000

Output
- Magnetization: 0.00 μB per formula unit
- Energy of formation from the pure elements: 0.9914 eV per atom

Record 9
The following is a DFT calculation (GGA-PBE) of a geometry-optimized ErTmBi structure.

a b c (Å): 6.082 6.082 6.082
angles (deg): 141.64 141.64 55.38
Fractional positions:
Er  0.000  0.000  0.000
Tm  0.684  0.684  0.000
Bi  0.341  0.341  0.000

Output
- Magnetization: 1.02 μB per formula unit
- Energy of formation from the pure elements: -0.4265 eV per atom

Record 10
The following is a DFT calculation (GGA-PBE) of a geometry-optimized Cs4Er3TmSe8 structure.

a b c (Å): 9.685 9.685 9.685
angles (deg): 51.79 51.79 51.79
Fractional positions:
Cs  0.000  0.000  0.000
Cs  0.000  0.500  0.500
Cs  0.500  0.000  0.500
Cs  0.500  0.500  0.000
Er  0.000  0.000  0.500
Er  0.000  0.500  0.000
Er  0.500  0.000  0.000
Tm  0.500  0.500  0.500
Se  0.228  0.228  0.228
Se  0.229  0.727  0.727
Se  0.273  0.273  0.771
Se  0.273  0.771  0.273
Se  0.727  0.229  0.727
Se  0.727  0.727  0.229
Se  0.771  0.273  0.273
Se  0.772  0.772  0.772

Output
- Magnetization: 0.00 μB per formula unit
- Formation energy (no corrections): -27.46 eV per formula unit

Record 11
The following is a DFT calculation (GGA-PBE) of a geometry-optimized LaHfSnP2 structure.

a b c (Å): 4.960 4.960 5.811
angles (deg): 90.00 90.00 90.00
Fractional positions:
La  0.000  0.000  0.000
Hf  0.000  0.000  0.500
Sn  0.500  0.500  0.000
P  0.000  0.500  0.500
P  0.500  0.000  0.500

Output
- Magnetization: 0.00 μB per formula unit
- Energy of formation from the pure elements: 0.1491 eV per atom

Record 12
The following is a DFT calculation (GGA-PBE) of a geometry-optimized Be2ReRh2 structure.

a b c (Å): 4.982 4.982 4.982
angles (deg): 134.15 134.15 66.86
Fractional positions:
Be  0.250  0.750  0.500
Be  0.750  0.250  0.500
Re  0.000  0.000  0.000
Rh  0.354  0.354  0.000
Rh  0.646  0.646  0.000

Output
- Magnetization: 0.61 μB per formula unit
- Energy above the most stable polymorph in this dataset: 0.644 eV per atom
- Energy of formation from the pure elements: 0.3104 eV per atom

Among the records above, which one has the highest magnetization?
ErTmBi

What did the first record say?
The following is a DFT calculation (GGA-PBE) of a geometry-optimized DyHo2Ru structure.

a b c (Å): 10.844 10.844 10.844
angles (deg): 18.45 18.45 18.45
Fractional positions:
Dy  0.000  0.000  0.000
Ho  0.107  0.107  0.107
Ho  0.893  0.893  0.893
Ru  0.500  0.500  0.500

Output
- Magnetization: 0.40 μB per formula unit
- Energy above the most stable polymorph in this dataset: 0.437 eV per atom
- Energy of formation from the pure elements: 0.1006 eV per atom